(1)
This record from OQMD describes PmZnOs after structural relaxation. The functional is GGA-PBE.

Cell: 6.6187 6.6187 6.6187 Å, 90.00 90.00 90.00°
With the nearest neighbours (Å) after each atom.
Space group F-43m (No. 216)
Symmetry-distinct sites (fractional):
Pm (0.0000, 0.0000, 0.0000) [4 per cell]  4 Os 2.87, 4 Zn 2.87
Zn (0.2500, 0.2500, 0.2500) [4 per cell]  4 Pm 2.87
Os (0.2500, 0.2500, 0.7500) [4 per cell]  4 Pm 2.87

Values from the calculation:
ΔH_f (0 K)   2.85 eV per formula unit
M_tot   0.0 Bohr magnetons per cell

(2)
This record from OQMD describes PmZrOs after structural relaxation. The functional is GGA-PBE.

Cell: 6.5571 6.5571 6.5571 Å, 90.00 90.00 90.00°
With the nearest neighbours (Å) after each atom.
Space group F-43m (No. 216)
Symmetry-distinct sites (fractional):
Pm (0.0000, 0.0000, 0.0000) [4 per cell]  4 Zr 2.84
Zr (0.2500, 0.2500, 0.7500) [4 per cell]  4 Os 2.84, 4 Pm 2.84
Os (0.0000, 0.0000, 0.5000) [4 per cell]  4 Zr 2.84

Values from the calculation:
ΔH_f (0 K)   1.57 eV per formula unit
M_tot   0.0 Bohr magnetons per cell

(3)
This record from OQMD describes Pr3Os after structural relaxation. The functional is GGA-PBE.

Cell: 7.5212 9.7506 6.5418 Å, 90.00 90.00 90.00°
With the nearest neighbours (Å) after each atom.
Space group Pnma (No. 62)
Symmetry-distinct sites (fractional):
Pr (0.0413, 0.2500, 0.1407) [4 per cell]  2 Os 2.88-2.94
Pr (0.1743, 0.0662, 0.6710) [8 per cell]  2 Os 2.92-3.00
Os (0.1151, 0.7500, 0.4469) [4 per cell]  6 Pr 2.88-3.00

Values from the calculation:
ΔH_f (0 K)   -0.31 eV per formula unit
M_tot   0.0 Bohr magnetons per cell